(i)
# CsBiOF2

A PBEsol-optimized structure of CsBiOF2 (SCAN, Alexandria via LeMat-Bulk).

The structure in POSCAR format:
```
CsBiOF2
1.0
-0.639 -3.334 -2.701
4.954 0.054 -1.237
0.984 -3.267 3.800
O Bi F Cs
1 1 2 1
Direct
0.500 0.000 0.000
0.500 0.500 0.500
0.000 0.500 0.000
0.000 0.000 0.500
0.000 0.000 0.000
```

Spin magnetization: 0.0 μB/cell

---

(ii)
# CsBiOF2

A PBEsol-optimized structure of CsBiOF2 (SCAN, Alexandria via LeMat-Bulk).

The structure in POSCAR format:
```
CsBiOF2
1.0
4.470 0.000 0.000
0.000 4.720 0.000
0.000 0.000 4.720
Cs F Bi O
1 2 1 1
Direct
0.500 0.500 0.500
0.000 0.000 0.500
0.000 0.500 0.000
0.000 0.000 0.000
0.500 0.000 0.000
```

Spin magnetization: 0.0 μB/cell

---

(ii) is the most stable structure; the next one sits 1690 meV/atom above it.

---

(i)
# Cs2Hg2Bi

A PBEsol-optimized structure of Cs2Hg2Bi (SCAN, Alexandria via LeMat-Bulk).

The structure in POSCAR format:
```
Cs2Hg2Bi
1.0
5.715 0.000 0.000
0.000 8.137 0.000
0.000 0.000 8.137
Bi Cs Hg
2 4 4
Direct
0.000 0.500 0.500
0.000 0.000 0.000
0.500 0.323 0.177
0.500 0.177 0.677
0.500 0.677 0.823
0.500 0.823 0.323
0.000 0.369 0.869
0.000 0.131 0.369
0.000 0.869 0.631
0.000 0.631 0.131
```

Spin magnetization: 0.0 μB/cell

---

(ii)
# Cs2Hg2Bi

A PBEsol-optimized structure of Cs2Hg2Bi (SCAN, Alexandria via LeMat-Bulk).

The structure in POSCAR format:
```
Cs2Hg2Bi
1.0
-6.498 -1.539 0.613
3.705 -0.950 5.508
1.330 6.503 -0.953
Cs Bi Hg
2 1 2
Direct
0.500 0.750 0.250
0.500 0.250 0.750
0.000 0.000 0.000
0.000 0.336 0.336
0.000 0.664 0.664
```

Spin magnetization: 0.0 μB/cell

---

(i) is the most stable structure; the next one sits 24 meV/atom above it.

---

(i)
# CsBi2Ir

A PBEsol-optimized structure of CsBi2Ir (SCAN, Alexandria via LeMat-Bulk).

The structure in POSCAR format:
```
CsBi2Ir
1.0
7.075 -0.424 0.000
-2.755 6.530 0.000
2.160 3.053 6.021
Cs Bi Ir
2 4 2
Direct
0.500 0.500 0.000
0.250 0.750 0.500
0.875 0.975 0.400
0.725 0.125 0.900
0.025 0.625 0.100
0.375 0.275 0.600
0.750 0.250 0.500
0.000 0.000 0.000
```

Spin magnetization: 0.0 μB/cell

---

(ii)
# CsBi2Ir

A PBEsol-optimized structure of CsBi2Ir (SCAN, Alexandria via LeMat-Bulk).

The structure in POSCAR format:
```
CsBi2Ir
1.0
5.268 0.000 0.000
2.634 4.562 0.000
2.634 1.521 4.301
Bi Cs Ir
2 1 1
Direct
0.750 0.750 0.750
0.250 0.250 0.250
0.000 0.000 0.000
0.500 0.500 0.500
```

Spin magnetization: 0.0 μB/cell

---

(i) is the most stable structure; the next one sits 582 meV/atom above it.

---

(i)
# CsNa2Bi2

A PBEsol-optimized structure of CsNa2Bi2 (SCAN, Alexandria via LeMat-Bulk).

The structure in POSCAR format:
```
CsNa2Bi2
1.0
-0.906 -1.973 -5.024
1.162 -5.046 1.772
-6.279 2.607 3.089
Bi Cs Na
2 1 2
Direct
0.386 0.386 0.771
0.614 0.614 0.229
0.000 0.000 0.000
0.750 0.250 0.500
0.250 0.750 0.500
```

Spin magnetization: 0.7 μB/cell

---

(ii)
# CsNa2Bi2

A PBEsol-optimized structure of CsNa2Bi2 (SCAN, Alexandria via LeMat-Bulk).

The structure in POSCAR format:
```
CsNa2Bi2
1.0
3.420 0.000 0.000
0.000 9.822 0.000
0.000 0.000 9.822
Bi Na Cs
4 4 2
Direct
0.500 0.162 0.662
0.500 0.838 0.338
0.500 0.338 0.162
0.500 0.662 0.838
0.000 0.372 0.872
0.000 0.128 0.372
0.000 0.628 0.128
0.000 0.872 0.628
0.000 0.500 0.500
0.000 0.000 0.000
```

Spin magnetization: 0.0 μB/cell

---

(ii) is the most stable structure; the next one sits 8 meV/atom above it.

---

(i)
# CsBi3Pb

A PBEsol-optimized structure of CsBi3Pb (SCAN, Alexandria via LeMat-Bulk).

The structure in POSCAR format:
```
CsBi3Pb
1.0
5.984 0.000 0.000
0.000 5.984 0.000
0.000 0.000 5.984
Bi Cs Pb
3 1 1
Direct
0.000 0.000 0.500
0.500 0.000 0.000
0.000 0.500 0.000
0.500 0.500 0.500
0.000 0.000 0.000
```

Spin magnetization: 0.0 μB/cell

---

(ii)
# CsBi3Pb

A PBEsol-optimized structure of CsBi3Pb (SCAN, Alexandria via LeMat-Bulk).

The structure in POSCAR format:
```
CsBi3Pb
1.0
-6.017 0.218 -0.927
0.826 -1.756 -5.775
-0.473 -5.829 1.705
Pb Bi Cs
1 3 1
Direct
0.500 0.500 0.500
0.000 0.500 0.000
0.500 0.000 0.000
0.000 0.000 0.500
0.000 0.000 0.000
```

Spin magnetization: 0.0 μB/cell

---

(i) is the most stable structure; the next one sits 1045 meV/atom above it.

---

(i)
# BiF5

A PBEsol-optimized structure of BiF5 (SCAN, Alexandria via LeMat-Bulk).

The structure in POSCAR format:
```
BiF5
1.0
-2.819 3.364 -2.942
-5.277 -3.781 4.379
0.931 7.190 7.330
F Bi
20 4
Direct
0.020 0.550 0.149
0.928 0.156 0.154
0.428 0.656 0.346
0.970 0.850 0.314
0.687 0.024 0.903
0.980 0.450 0.851
0.530 0.650 0.814
0.376 0.286 0.910
0.876 0.786 0.590
0.572 0.344 0.654
0.187 0.524 0.597
0.072 0.844 0.846
0.813 0.476 0.403
0.313 0.976 0.097
0.520 0.050 0.351
0.030 0.150 0.686
0.624 0.714 0.090
0.124 0.214 0.410
0.480 0.950 0.649
0.470 0.350 0.186
0.223 0.100 0.252
0.723 0.600 0.248
0.777 0.900 0.748
0.277 0.400 0.752
```

Spin magnetization: 0.0 μB/cell

---

(ii)
# BiF5

A PBEsol-optimized structure of BiF5 (SCAN, Alexandria via LeMat-Bulk).

The structure in POSCAR format:
```
BiF5
1.0
4.304 0.000 0.000
2.152 4.675 0.000
2.152 0.000 4.675
F Bi
5 1
Direct
0.500 0.000 0.000
0.714 0.382 0.190
0.286 0.618 0.810
0.096 0.190 0.618
0.904 0.810 0.382
0.000 0.000 0.000
```

Spin magnetization: 0.1 μB/cell

---

(iii)
# BiF5

A PBEsol-optimized structure of BiF5 (SCAN, Alexandria via LeMat-Bulk).

The structure in POSCAR format:
```
BiF5
1.0
-1.478 -0.022 -5.416
4.720 -2.276 2.015
-6.126 -4.855 1.464
F Bi
10 2
Direct
0.849 0.099 0.250
0.776 0.548 0.959
0.951 0.709 0.359
0.350 0.093 0.141
0.411 0.683 0.459
0.650 0.907 0.859
0.224 0.452 0.041
0.049 0.291 0.641
0.589 0.317 0.541
0.151 0.901 0.750
0.000 0.500 0.500
0.000 0.000 0.000
```

Spin magnetization: 0.0 μB/cell

---

(ii) is the most stable structure; the next one sits 5 meV/atom above it.

---

(i)
# Bi6O5F8

A PBEsol-optimized structure of Bi6O5F8 (SCAN, Alexandria via LeMat-Bulk).

The structure in POSCAR format:
```
Bi6O5F8
1.0
-1.087 -4.939 2.504
5.478 -1.697 -0.970
9.208 13.083 29.803
Bi O F
24 20 32
Direct
0.730 0.292 0.083
0.295 0.293 0.166
0.205 0.293 0.666
0.232 0.284 0.834
0.779 0.291 0.917
0.705 0.707 0.834
0.714 0.272 0.251
0.286 0.728 0.749
0.768 0.716 0.166
0.752 0.720 0.500
0.270 0.708 0.917
0.770 0.292 0.583
0.214 0.728 0.249
0.230 0.708 0.417
0.795 0.707 0.334
0.786 0.272 0.751
0.252 0.280 0.000
0.221 0.709 0.083
0.268 0.284 0.334
0.721 0.291 0.417
0.748 0.720 0.000
0.732 0.716 0.666
0.279 0.709 0.583
0.248 0.280 0.500
0.486 0.510 0.042
0.488 0.484 0.628
0.992 0.478 0.289
0.010 0.478 0.374
0.508 0.478 0.789
0.987 0.493 0.042
0.014 0.510 0.542
0.512 0.516 0.372
0.490 0.478 0.874
0.514 0.490 0.958
0.510 0.522 0.126
0.008 0.522 0.711
0.986 0.490 0.458
0.988 0.516 0.872
0.012 0.484 0.128
0.487 0.507 0.458
0.990 0.522 0.626
0.492 0.522 0.211
0.013 0.507 0.958
0.513 0.493 0.542
0.940 0.038 0.536
0.055 0.978 0.038
0.169 0.877 0.321
0.338 0.867 0.683
0.147 0.095 0.892
0.945 0.022 0.962
0.006 0.535 0.791
0.440 0.962 0.964
0.373 0.089 0.109
0.669 0.123 0.179
0.873 0.911 0.391
0.831 0.123 0.679
0.647 0.905 0.608
0.853 0.905 0.108
0.838 0.133 0.817
0.445 0.978 0.538
0.662 0.133 0.317
0.127 0.089 0.609
0.330 0.127 0.253
0.162 0.867 0.183
0.506 0.465 0.709
0.555 0.022 0.462
0.353 0.095 0.392
0.627 0.911 0.891
0.560 0.038 0.036
0.494 0.535 0.291
0.060 0.962 0.464
0.331 0.877 0.821
0.670 0.873 0.747
0.170 0.127 0.753
0.830 0.873 0.247
0.994 0.465 0.209
```

Spin magnetization: 0.0 μB/cell

---

(ii)
# Bi6O5F8

A PBEsol-optimized structure of Bi6O5F8 (SCAN, Alexandria via LeMat-Bulk).

The structure in POSCAR format:
```
Bi6O5F8
1.0
3.947 -0.064 -0.067
0.134 5.784 -0.118
0.273 0.171 12.102
F O Bi
8 5 6
Direct
0.252 0.419 0.221
0.259 0.496 0.927
0.768 0.472 0.764
0.755 0.499 0.084
0.238 0.398 0.496
0.256 0.965 0.252
0.711 0.679 0.565
0.744 0.584 0.343
0.753 0.989 0.082
0.247 0.005 0.599
0.756 0.985 0.760
0.257 0.982 0.915
0.740 0.045 0.420
0.256 0.765 0.074
0.756 0.202 0.918
0.266 0.781 0.750
0.752 0.231 0.250
0.756 0.220 0.584
0.308 0.784 0.439
```

Spin magnetization: 0.0 μB/cell

---

(i) is the most stable structure; the next one sits 10 meV/atom above it.

---

(i)
# Bi5O7F

A PBEsol-optimized structure of Bi5O7F (SCAN, Alexandria via LeMat-Bulk).

The structure in POSCAR format:
```
Bi5O7F
1.0
3.978 0.000 0.000
-1.989 9.736 -0.822
0.000 -5.685 12.156
O F Bi
14 2 10
Direct
0.325 0.649 0.332
0.782 0.565 0.458
0.269 0.537 0.920
0.731 0.463 0.080
0.675 0.351 0.668
0.628 0.256 0.241
0.075 0.150 0.335
0.827 0.654 0.860
0.925 0.850 0.665
0.372 0.744 0.759
0.452 0.904 0.567
0.173 0.346 0.140
0.548 0.096 0.433
0.218 0.435 0.542
0.046 0.092 0.912
0.954 0.908 0.088
0.386 0.772 0.933
0.614 0.228 0.067
0.100 0.200 0.522
0.479 0.957 0.743
0.900 0.800 0.478
0.289 0.578 0.155
0.711 0.422 0.845
0.211 0.422 0.356
0.789 0.578 0.644
0.521 0.043 0.257
```

Spin magnetization: 0.0 μB/cell

---

(ii)
# Bi5O7F

A PBEsol-optimized structure of Bi5O7F (SCAN, Alexandria via LeMat-Bulk).

The structure in POSCAR format:
```
Bi5O7F
1.0
-1.588 -3.054 -2.229
7.599 0.037 -5.147
9.874 -8.231 3.813
Bi O F
10 14 2
Direct
0.260 0.439 0.146
0.227 0.031 0.717
0.773 0.969 0.283
0.740 0.561 0.854
0.248 0.583 0.363
0.752 0.417 0.637
0.752 0.199 0.459
0.248 0.801 0.541
0.765 0.795 0.085
0.235 0.205 0.915
0.281 0.679 0.142
0.769 0.903 0.460
0.231 0.097 0.540
0.786 0.749 0.263
0.759 0.441 0.455
0.719 0.321 0.858
0.214 0.251 0.737
0.725 0.127 0.649
0.773 0.646 0.679
0.275 0.873 0.351
0.226 0.451 0.913
0.241 0.559 0.545
0.227 0.354 0.321
0.774 0.549 0.087
0.502 0.039 0.097
0.498 0.961 0.903
```

Spin magnetization: 0.0 μB/cell

---

(ii) is the most stable structure; the next one sits 25 meV/atom above it.